1.
Material: Hg2PdI
Method: DFT, PBE
State: optimized geometry

Unit cell a=10.068 b=10.068 c=10.068 alpha=151.13 beta=151.13 gamma=41.28
Positions (direct):
Hg 0.016 0.625 0.891
Hg 0.375 0.266 0.391
Hg 0.734 0.125 0.109
Hg 0.875 0.984 0.609
Pd 0.000 0.000 0.000
Pd 0.750 0.250 0.500
I 0.250 0.750 0.500
I 0.500 0.500 0.000

total magnetization: 0.00 μB/atom
distance to the lowest polymorph of the same formula: 0.0 meV per atom
calculated total energy: -6.843 eV/f.u.

2.
Material: Ag2PSF5
Method: DFT, PBE
State: optimized geometry

Unit cell a=6.746 b=6.746 c=6.746 alpha=136.37 beta=136.37 gamma=63.42
Positions (direct):
Ag 0.000 0.500 0.500
Ag 0.500 0.000 0.500
P 0.270 0.270 0.000
S 0.469 0.469 0.000
F 0.040 0.040 0.542
F 0.040 0.498 0.000
F 0.124 0.124 0.000
F 0.498 0.040 0.000
F 0.498 0.498 0.458

total magnetization: 0.00 μB/atom
calculated total energy: -39.446 eV/f.u.

no.,uncorrected formation energy (meV/atom)
1,126
2,-1650